*P*
HfBe3Al | PBE-GGA | optimized geometry

Symmetry: Pm-3m (221)
Spin magnetization: 0.000 μB per formula unit

Cell: 4.1341 4.1341 4.1341 Å, 90.00 90.00 90.00°
Fractional coordinates of all 5 atoms:
1 Hf 0.0000 0.0000 0.0000
2 Be 0.0000 0.5000 0.5000
3 Be 0.5000 0.0000 0.5000
4 Be 0.5000 0.5000 0.0000
5 Al 0.5000 0.5000 0.5000

*Q*
HfBe3Al | PBE-GGA | optimized geometry

Symmetry: Pm-3m (221)
Spin magnetization: 0.083 μB per formula unit

Cell: 4.6423 4.6423 4.6423 Å, 90.00 90.00 90.00°
Fractional coordinates of all 5 atoms:
1 Hf 0.0000 0.0000 0.0000
2 Be 0.0000 0.0000 0.5000
3 Be 0.0000 0.5000 0.0000
4 Be 0.5000 0.0000 0.0000
5 Al 0.5000 0.5000 0.5000

Compare the structures above. Which one is the most stable? *P* is.